No. 1
The following is a PBE calculation of TmTeW after structural relaxation, from OQMD via LeMat-Bulk.

Calculated values
The value obtained for the volume is 81 Å³/f.u. As for the distance to the lowest polymorph of the same formula: 455 meV/atom. As for the space group: F-43m, No. 216. As for the energy: -0.2117 Ha/atom.

a b c (Å): 4.855 4.855 4.855
angles (deg): 60.00 60.00 60.00
Fractional coordinates of all 3 atoms:
1 Tm 0.000 0.000 0.000
2 Te 0.750 0.750 0.750
3 W 0.250 0.250 0.250

=====

No. 2
The following is a PBE calculation of Y3Tm5Te after structural relaxation, from OQMD via LeMat-Bulk.

Calculated values
The value obtained for the volume is 273 Å³/f.u. As for the distance to the lowest polymorph of the same formula: 0 meV/atom. As for the space group: P-62m, No. 189. As for the energy: -0.1941 Ha/atom.

a b c (Å): 9.168 9.168 3.749
angles (deg): 90.00 90.00 120.00
Fractional coordinates of all 9 atoms:
1 Y 0.000 0.275 0.000
2 Y 0.275 0.000 0.000
3 Y 0.725 0.725 0.000
4 Tm 0.000 0.615 0.500
5 Tm 0.333 0.667 0.000
6 Tm 0.385 0.385 0.500
7 Tm 0.615 0.000 0.500
8 Tm 0.667 0.333 0.000
9 Te 0.000 0.000 0.500

=====

No. 3
The following is a PBE calculation of Y2Tm6Te after structural relaxation, from OQMD via LeMat-Bulk.

Calculated values
The value obtained for the volume is 271 Å³/f.u. As for the space group: P-62m, No. 189. As for the energy: -0.1853 Ha/atom.

a b c (Å): 9.139 9.139 3.742
angles (deg): 90.00 90.00 120.00
Fractional coordinates of all 9 atoms:
1 Y 0.333 0.667 0.000
2 Y 0.667 0.333 0.000
3 Tm 0.000 0.275 0.000
4 Tm 0.000 0.616 0.500
5 Tm 0.275 0.000 0.000
6 Tm 0.384 0.384 0.500
7 Tm 0.616 0.000 0.500
8 Tm 0.725 0.725 0.000
9 Te 0.000 0.000 0.500

=====

No. 4
The following is a PBE calculation of YTmTe2 after structural relaxation, from OQMD via LeMat-Bulk.

Calculated values
The value obtained for the volume is 120 Å³/f.u. As for the space group: P-42_1m, No. 113. As for the energy: -0.1980 Ha/atom.

a b c (Å): 7.655 7.655 4.085
angles (deg): 90.00 90.00 90.00
Fractional coordinates of all 8 atoms:
1 Y 0.000 0.500 0.194
2 Y 0.500 0.000 0.806
3 Tm 0.000 0.000 0.000
4 Tm 0.500 0.500 0.000
5 Te 0.215 0.285 0.693
6 Te 0.285 0.785 0.307
7 Te 0.715 0.215 0.307
8 Te 0.785 0.715 0.693

=====

No. 5
The following is a PBE calculation of Y3Tm5Te after structural relaxation, from OQMD via LeMat-Bulk.

Calculated values
The value obtained for the volume is 273 Å³/f.u. As for the distance to the lowest polymorph of the same formula: 5 meV/atom. As for the space group: P-62m, No. 189. As for the energy: -0.1939 Ha/atom.

a b c (Å): 9.137 9.137 3.773
angles (deg): 90.00 90.00 120.00
Fractional coordinates of all 9 atoms:
1 Y 0.000 0.615 0.000
2 Y 0.385 0.385 0.000
3 Y 0.615 0.000 0.000
4 Tm 0.000 0.275 0.500
5 Tm 0.275 0.000 0.500
6 Tm 0.333 0.667 0.500
7 Tm 0.667 0.333 0.500
8 Tm 0.725 0.725 0.500
9 Te 0.000 0.000 0.000

=====

No. 6
The following is a PBE calculation of YTmZnTe3 after structural relaxation, from OQMD via LeMat-Bulk.

Calculated values
The value obtained for the volume is 162 Å³/f.u. As for the space group: Cmcm, No. 63. As for the energy: -0.1665 Ha/atom.

a b c (Å): 7.784 7.784 10.485
angles (deg): 90.00 90.00 149.29
Fractional coordinates of all 12 atoms:
1 Y 0.222 0.778 0.750
2 Y 0.778 0.222 0.250
3 Tm 0.000 0.000 0.000
4 Tm 0.000 0.000 0.500
5 Zn 0.479 0.521 0.250
6 Zn 0.521 0.479 0.750
7 Te 0.116 0.884 0.250
8 Te 0.350 0.650 0.049
9 Te 0.350 0.650 0.451
10 Te 0.650 0.350 0.549
11 Te 0.650 0.350 0.951
12 Te 0.884 0.116 0.750

=====

Q: What is the energy in the fourth record?
A: -0.1980 Ha/atom

=====

Copy entry 6 word for word.
The following is a PBE calculation of YTmZnTe3 after structural relaxation, from OQMD via LeMat-Bulk.

Calculated values
The value obtained for the volume is 162 Å³/f.u. As for the space group: Cmcm, No. 63. As for the energy: -0.1665 Ha/atom.

a b c (Å): 7.784 7.784 10.485
angles (deg): 90.00 90.00 149.29
Fractional coordinates of all 12 atoms:
1 Y 0.222 0.778 0.750
2 Y 0.778 0.222 0.250
3 Tm 0.000 0.000 0.000
4 Tm 0.000 0.000 0.500
5 Zn 0.479 0.521 0.250
6 Zn 0.521 0.479 0.750
7 Te 0.116 0.884 0.250
8 Te 0.350 0.650 0.049
9 Te 0.350 0.650 0.451
10 Te 0.650 0.350 0.549
11 Te 0.650 0.350 0.951
12 Te 0.884 0.116 0.750

=====

Q: Which of these has the highest energy?
A: YTmZnTe3

=====

Q: Which formula does entry 4 have?
A: YTmTe2